A plane-wave DFT calculation with meta-GGA SCAN was carried out for a crystal of MnNiOs2 relaxed with PBEsol.

CIF file:
```
data_MnNiOs2
_cell_length_a 3.704
_cell_length_b 3.704
_cell_length_c 4.459
_cell_angle_alpha 114.55
_cell_angle_beta 114.55
_cell_angle_gamma 90.00
_symmetry_space_group_name_H-M 'P 1'
_symmetry_Int_Tables_number 1
loop_
_symmetry_equiv_pos_as_xyz
'x,y,z'
loop_
_atom_site_label
_atom_site_fract_x
_atom_site_fract_y
_atom_site_fract_z
_atom_site_occupancy
Mn1 0.500 0.500 0.000 1
Ni1 0.000 0.000 0.000 1
Os1 0.750 0.250 0.500 1
Os2 0.250 0.750 0.500 1
```

Properties
M_tot: 2.39 μB/cell
E_tot: -44.47 eV per atom
ΔE_f: 0.32 eV per formula unit
N(E_F): 1.092 states/eV per atom
Energy above the lowest structure with this stoichiometry: 0.00 eV per formula unit